Record 1
This record from Alexandria describes a relaxed Tb4Co3Ru crystal. The functional is GGA-PBE.

Cell and atoms, written as CIF:
```
data_Tb4Co3Ru
_cell_length_a 3.9508
_cell_length_b 4.0960
_cell_length_c 10.3116
_cell_angle_alpha 90.00
_cell_angle_beta 90.00
_cell_angle_gamma 90.00
_space_group_name_H-M_alt 'P m m 2'
_space_group_IT_number 25
loop_
_space_group_symop_operation_xyz
'x,y,z'
'-x,-y,z'
'-x,y,z'
'x,-y,z'
loop_
_atom_site_label
_atom_site_fract_x
_atom_site_fract_y
_atom_site_fract_z
Tb1 0.0000 0.0000 0.0000
Tb2 0.0000 0.5000 0.4957
Tb3 0.5000 0.0000 0.7078
Tb4 0.5000 0.5000 0.2089
Co1 0.0000 0.0000 0.2984
Co2 0.5000 0.0000 0.4036
Co3 0.5000 0.5000 0.9217
Ru1 0.0000 0.5000 0.7928
```

Values from the calculation:
energy relative to the elements: -209 meV per atom
M_tot: 1.4 μB/cell



Record 2
This record from Alexandria describes a relaxed Tb3CoRu2 crystal. The functional is GGA-PBE.

Cell and atoms, written as CIF:
```
data_Tb3CoRu2
_cell_length_a 3.5366
_cell_length_b 4.3431
_cell_length_c 15.9626
_cell_angle_alpha 90.00
_cell_angle_beta 90.00
_cell_angle_gamma 90.00
_space_group_name_H-M_alt 'I m m m'
_space_group_IT_number 71
_space_group_name_Hall '-I 2 2'
loop_
_atom_site_label
_atom_site_fract_x
_atom_site_fract_y
_atom_site_fract_z
Tb1 0.0000 0.0000 0.0000
Tb2 0.0000 0.5000 0.3174
Co1 0.0000 0.0000 0.5000
Ru1 0.0000 0.5000 0.1233
```

Values from the calculation:
energy relative to the elements: -172 meV per atom
M_tot: 2.7 μB/cell



Record 3
This record from Alexandria describes a relaxed Tb4CoRu3 crystal. The functional is GGA-PBE.

Cell and atoms, written as CIF:
```
data_Tb4CoRu3
_cell_length_a 3.4119
_cell_length_b 3.4119
_cell_length_c 13.5217
_cell_angle_alpha 90.00
_cell_angle_beta 90.00
_cell_angle_gamma 90.00
_space_group_name_H-M_alt 'P 4/m m m'
_space_group_IT_number 123
_space_group_name_Hall '-P 4 2'
loop_
_atom_site_label
_atom_site_fract_x
_atom_site_fract_y
_atom_site_fract_z
Tb1 0.0000 0.0000 0.1233
Tb2 0.0000 0.0000 0.3740
Co1 0.5000 0.5000 0.0000
Ru1 0.5000 0.5000 0.2453
Ru2 0.5000 0.5000 0.5000
```

Values from the calculation:
energy relative to the elements: -257 meV per atom
M_tot: 0.6 μB/cell



Record 4
This record from Alexandria describes a relaxed Tb5Co2Ru crystal. The functional is GGA-PBE.

Cell and atoms, written as CIF:
```
data_Tb5Co2Ru
_cell_length_a 7.1469
_cell_length_b 7.1469
_cell_length_c 14.1868
_cell_angle_alpha 90.00
_cell_angle_beta 90.00
_cell_angle_gamma 90.00
_space_group_name_H-M_alt 'I 4/m c m'
_space_group_IT_number 140
_space_group_name_Hall '-I 4 2c'
loop_
_atom_site_label
_atom_site_fract_x
_atom_site_fract_y
_atom_site_fract_z
Tb1 0.0000 0.0000 0.0000
Tb2 0.1787 0.3213 0.1422
Co1 0.1117 0.3883 0.5000
Ru1 0.0000 0.0000 0.2500
```

Values from the calculation:
energy relative to the elements: -246 meV per atom
M_tot: 0.0 μB/cell



Record 5
This record from Alexandria describes a relaxed Tb2CoRu3 crystal. The functional is GGA-PBE.

Cell and atoms, written as CIF:
```
data_Tb2CoRu3
_cell_length_a 5.2889
_cell_length_b 5.2889
_cell_length_c 12.9129
_cell_angle_alpha 90.00
_cell_angle_beta 90.00
_cell_angle_gamma 120.00
_space_group_name_H-M_alt 'R -3 m'
_space_group_IT_number 166
_space_group_name_Hall '-R 3 2"'
loop_
_atom_site_label
_atom_site_fract_x
_atom_site_fract_y
_atom_site_fract_z
Tb1 0.0000 0.0000 0.1244
Co1 0.0000 0.0000 0.5000
Ru1 0.0000 0.5000 0.0000
```

Values from the calculation:
energy relative to the elements: -273 meV per atom
M_tot: 2.1 μB/cell



Record 6
This record from Alexandria describes a relaxed TbUCoRu crystal. The functional is GGA-PBE.

Cell and atoms, written as CIF:
```
data_TbUCoRu
_cell_length_a 4.2767
_cell_length_b 4.2767
_cell_length_c 15.3474
_cell_angle_alpha 90.00
_cell_angle_beta 90.00
_cell_angle_gamma 120.00
_space_group_name_H-M_alt 'R 3 m'
_space_group_IT_number 160
_space_group_name_Hall 'R 3 -2"'
loop_
_atom_site_label
_atom_site_fract_x
_atom_site_fract_y
_atom_site_fract_z
Tb1 0.0000 0.0000 0.0000
U1 0.0000 0.0000 0.5064
Co1 0.0000 0.0000 0.2025
Ru1 0.0000 0.0000 0.7879
```

Values from the calculation:
energy relative to the elements: -278 meV per atom
M_tot: 1.2 μB/cell